The following is a PBE calculation of a geometry-optimized Y5Zr3Ni16As12 structure, from Alexandria via LeMat-Bulk.

Lattice parameters (Å, degrees): 12.7834 12.7834 3.9400 90.00 90.00 120.00
Last column: nearest neighbours and their distance in Å.
Fractional coordinates of all 36 atoms:
1 Y 0.0000 0.8151 0.0000  6 As 2.95-3.05, 8 Ni 3.08-3.15
2 Y 0.1849 0.1849 0.0000  6 As 2.95-3.05, 8 Ni 3.08-3.15
3 Y 0.3333 0.6667 0.5000  6 As 2.99, 9 Ni 3.21-3.22
4 Y 0.6667 0.3333 0.5000  6 As 2.99, 9 Ni 3.21-3.22
5 Y 0.8151 0.0000 0.0000  6 As 2.95-3.05, 8 Ni 3.08-3.15
6 Zr 0.0000 0.4352 0.5000  5 As 2.65-2.80, 4 Ni 2.81-2.84
7 Zr 0.4352 0.0000 0.5000  5 As 2.65-2.80, 4 Ni 2.81-2.84
8 Zr 0.5648 0.5648 0.5000  5 As 2.65-2.80, 4 Ni 2.81-2.84
9 Ni 0.0000 0.0000 0.5000  3 As 2.28
10 Ni 0.0000 0.2757 0.0000  4 As 2.33-2.42
11 Ni 0.1207 0.6368 0.0000  4 As 2.40-2.53, 1 Ni 2.67
12 Ni 0.1844 0.3770 0.5000  4 As 2.35-2.46
13 Ni 0.1925 0.8156 0.5000  4 As 2.35-2.46
14 Ni 0.2757 0.0000 0.0000  4 As 2.33-2.42
15 Ni 0.3632 0.4839 0.0000  4 As 2.40-2.53, 1 Ni 2.67
16 Ni 0.3770 0.1844 0.5000  4 As 2.35-2.46
17 Ni 0.4839 0.3632 0.0000  4 As 2.40-2.53, 1 Ni 2.67
18 Ni 0.5161 0.8793 0.0000  4 As 2.40-2.53, 1 Ni 2.67
19 Ni 0.6230 0.8075 0.5000  4 As 2.35-2.46
20 Ni 0.6368 0.1207 0.0000  4 As 2.40-2.53, 1 Ni 2.67
21 Ni 0.7243 0.7243 0.0000  4 As 2.33-2.42
22 Ni 0.8075 0.6230 0.5000  4 As 2.35-2.46
23 Ni 0.8156 0.1925 0.5000  4 As 2.35-2.46
24 Ni 0.8793 0.5161 0.0000  4 As 2.40-2.53, 1 Ni 2.67
25 As 0.0000 0.1781 0.5000  5 Ni 2.28-2.46
26 As 0.0000 0.6428 0.5000  6 Ni 2.35-2.53
27 As 0.1727 0.4783 0.0000  5 Ni 2.40-2.43
28 As 0.1781 0.0000 0.5000  5 Ni 2.28-2.46
29 As 0.3056 0.8273 0.0000  5 Ni 2.40-2.43
30 As 0.3572 0.3572 0.5000  6 Ni 2.35-2.53
31 As 0.4783 0.1727 0.0000  5 Ni 2.40-2.43
32 As 0.5217 0.6944 0.0000  5 Ni 2.40-2.43
33 As 0.6428 0.0000 0.5000  6 Ni 2.35-2.53
34 As 0.6944 0.5217 0.0000  5 Ni 2.40-2.43
35 As 0.8219 0.8219 0.5000  5 Ni 2.28-2.46
36 As 0.8273 0.3056 0.0000  5 Ni 2.40-2.43

Output
* N(E_F): 20.664 states/eV/cell
* spin magnetization: 0.000 μB per formula unit
* crystal system: hexagonal
* formation energy from the elements: -837 meV/atom